[1]
{"formula": "Hf4GaSnC2", "functional": "PBE-GGA", "state": "optimized geometry", "e_tot_ev_per_fu": -71.50, "cell": [[3.315, 0.000, 0.000], [-1.657, 2.871, 0.000], [0.000, 0.000, 14.249]], "species": ["C", "C", "Ga", "Hf", "Hf", "Hf", "Hf", "Sn"], "fractional_positions": [[0.333, 0.667, 0.245], [0.333, 0.667, 0.755], [0.000, 0.000, 0.000], [0.667, 0.333, 0.158], [0.000, 0.000, 0.331], [0.000, 0.000, 0.669], [0.667, 0.333, 0.842], [0.667, 0.333, 0.500]]}


[2]
{"formula": "ZnGaSn", "functional": "PBE-GGA", "state": "optimized geometry", "e_tot_ev_per_fu": -7.88, "cell": [[0.000, 3.297, 3.297], [3.297, 0.000, 3.297], [3.297, 3.297, 0.000]], "species": ["Ga", "Sn", "Zn"], "fractional_positions": [[0.250, 0.250, 0.250], [0.000, 0.000, 0.000], [0.750, 0.750, 0.750]]}


[3]
{"formula": "ScAlW2", "functional": "PBE-GGA", "state": "optimized geometry", "e_tot_ev_per_fu": -36.31, "cell": [[1.412, -4.037, 1.581], [-2.826, -2.600, 2.459], [-1.674, -3.854, -1.771]], "species": ["Al", "Sc", "W", "W"], "fractional_positions": [[0.500, 0.500, 0.500], [0.250, 0.250, 0.250], [0.000, 0.000, 0.000], [0.750, 0.750, 0.750]]}


[4]
{"formula": "ZrInCuSe3", "functional": "PBE-GGA", "state": "optimized geometry", "e_tot_ev_per_fu": -30.32, "cell": [[-8.076, -0.827, 0.746], [0.231, -3.570, -1.461], [4.773, -3.079, 8.279]], "species": ["Cu", "Cu", "In", "In", "Se", "Se", "Se", "Se", "Se", "Se", "Zr", "Zr"], "fractional_positions": [[0.921, 0.750, 0.397], [0.079, 0.250, 0.603], [0.274, 0.250, 0.297], [0.726, 0.750, 0.703], [0.447, 0.750, 0.131], [0.927, 0.750, 0.154], [0.757, 0.250, 0.444], [0.243, 0.750, 0.556], [0.073, 0.250, 0.846], [0.553, 0.250, 0.869], [0.701, 0.250, 0.167], [0.299, 0.750, 0.833]]}


[5]
{"formula": "Lu4GaGeC2", "functional": "PBE-GGA", "state": "optimized geometry", "e_tot_ev_per_fu": -48.18, "cell": [[-0.644, 0.564, -3.376], [1.322, -3.051, 1.035], [-13.800, -5.390, 1.731]], "species": ["C", "C", "Ga", "Ge", "Lu", "Lu", "Lu", "Lu"], "fractional_positions": [[0.000, 0.000, 0.254], [0.000, 0.000, 0.746], [0.333, 0.667, 0.000], [0.667, 0.333, 0.500], [0.667, 0.333, 0.166], [0.333, 0.667, 0.342], [0.333, 0.667, 0.658], [0.667, 0.333, 0.834]]}


[6]
{"formula": "LiHfAlNi", "functional": "PBE-GGA", "state": "optimized geometry", "e_tot_ev_per_fu": -21.92, "cell": [[2.185, -3.697, -1.024], [-0.310, -3.544, 2.615], [-2.214, -3.566, -1.368]], "species": ["Al", "Hf", "Li", "Ni"], "fractional_positions": [[0.000, 0.000, 0.000], [0.250, 0.250, 0.250], [0.750, 0.750, 0.750], [0.500, 0.500, 0.500]]}


[7]
{"formula": "Tc2BiMo", "functional": "PBE-GGA", "state": "optimized geometry", "e_tot_ev_per_fu": -33.09, "cell": [[0.045, -3.782, 2.596], [1.578, 0.191, 4.303], [-2.905, -0.395, 3.528]], "species": ["Bi", "Mo", "Tc", "Tc"], "fractional_positions": [[0.500, 0.500, 0.500], [0.250, 0.250, 0.250], [0.000, 0.000, 0.000], [0.750, 0.750, 0.750]]}


[8]
{"formula": "LiScZnSn", "functional": "PBE-GGA", "state": "optimized geometry", "e_tot_ev_per_fu": -15.11, "cell": [[0.000, 3.370, 3.370], [3.370, 0.000, 3.370], [3.370, 3.370, 0.000]], "species": ["Li", "Sc", "Sn", "Zn"], "fractional_positions": [[0.500, 0.500, 0.500], [0.000, 0.000, 0.000], [0.250, 0.250, 0.250], [0.750, 0.750, 0.750]]}


[9]
{"formula": "ZrFe2B", "functional": "PBE-GGA", "state": "optimized geometry", "e_tot_ev_per_fu": -31.12, "cell": [[0.000, 2.906, 2.906], [2.906, 0.000, 2.906], [2.906, 2.906, 0.000]], "species": ["B", "Fe", "Fe", "Zr"], "fractional_positions": [[0.500, 0.500, 0.500], [0.000, 0.000, 0.000], [0.750, 0.750, 0.750], [0.250, 0.250, 0.250]]}


[10]
{"formula": "CsSm2CuS4", "functional": "PBE-GGA", "state": "optimized geometry", "e_tot_ev_per_fu": -43.56, "cell": [[2.040, -7.144, 0.000], [2.040, 7.144, 0.000], [0.000, 0.000, 14.011]], "species": ["Cs", "Cs", "Cu", "Cu", "S", "S", "S", "S", "S", "S", "S", "S", "Sm", "Sm", "Sm", "Sm"], "fractional_positions": [[0.606, 0.394, 0.250], [0.394, 0.606, 0.750], [0.335, 0.665, 0.250], [0.665, 0.335, 0.750], [0.500, 0.500, 0.000], [0.244, 0.756, 0.108], [0.919, 0.081, 0.250], [0.244, 0.756, 0.392], [0.500, 0.500, 0.500], [0.756, 0.244, 0.608], [0.081, 0.919, 0.750], [0.756, 0.244, 0.892], [0.866, 0.134, 0.061], [0.866, 0.134, 0.439], [0.134, 0.866, 0.561], [0.134, 0.866, 0.939]]}


[11]
{"formula": "InB3W4", "functional": "PBE-GGA", "state": "optimized geometry", "e_tot_ev_per_fu": -75.41, "cell": [[-2.724, 1.535, 0.327], [0.464, -1.865, -2.487], [-9.235, -19.071, 12.576]], "species": ["B", "B", "B", "B", "B", "B", "In", "In", "W", "W", "W", "W", "W", "W", "W", "W"], "fractional_positions": [[0.000, 0.000, 0.000], [0.667, 0.333, 0.107], [0.667, 0.333, 0.393], [0.000, 0.000, 0.500], [0.333, 0.667, 0.607], [0.333, 0.667, 0.893], [0.333, 0.667, 0.250], [0.667, 0.333, 0.750], [0.333, 0.667, 0.055], [0.000, 0.000, 0.154], [0.000, 0.000, 0.346], [0.333, 0.667, 0.445], [0.667, 0.333, 0.555], [0.000, 0.000, 0.654], [0.000, 0.000, 0.846], [0.667, 0.333, 0.945]]}


[12]
{"formula": "LuTlZnS3", "functional": "PBE-GGA", "state": "optimized geometry", "e_tot_ev_per_fu": -27.86, "cell": [[10.380, 0.000, 0.000], [0.000, 3.911, 0.000], [0.000, 0.000, 14.309]], "species": ["Lu", "Lu", "Lu", "Lu", "S", "S", "S", "S", "S", "S", "S", "S", "S", "S", "S", "S", "Tl", "Tl", "Tl", "Tl", "Zn", "Zn", "Zn", "Zn"], "fractional_positions": [[0.488, 0.750, 0.246], [0.988, 0.750, 0.254], [0.012, 0.250, 0.746], [0.512, 0.250, 0.754], [0.427, 0.250, 0.125], [0.044, 0.250, 0.131], [0.739, 0.750, 0.190], [0.239, 0.750, 0.310], [0.544, 0.250, 0.369], [0.927, 0.250, 0.375], [0.073, 0.750, 0.625], [0.456, 0.750, 0.631], [0.761, 0.250, 0.690], [0.261, 0.250, 0.810], [0.956, 0.750, 0.869], [0.573, 0.750, 0.875], [0.770, 0.250, 0.006], [0.270, 0.250, 0.494], [0.730, 0.750, 0.506], [0.230, 0.750, 0.994], [0.238, 0.250, 0.210], [0.738, 0.250, 0.290], [0.262, 0.750, 0.710], [0.762, 0.750, 0.790]]}